1.
First-principles (PBE) data for CePm3N4 after structural relaxation, as listed in Alexandria.

Total DFT energy (no corrections) in eV for the cell shown: -65.27
Spin magnetization in μB/f.u.: 0.000
V in Å³/atom: 16.45
Formation energy without anion corrections in meV/atom: -1472
Symmetry: Cmmm
Energy above the most stable polymorph in this dataset in meV per atom: 0

Cell and atoms, written as POSCAR:
```
CePm3N4
1.0
3.6023 0.0000 0.0000
0.0000 5.8881 -2.0109
0.0000 -0.0520 6.2218
N Ce Pm
4 1 3
direct
0.0000 0.2413 0.2413
0.5000 0.7563 0.2437
0.0000 0.7587 0.7587
0.5000 0.2437 0.7563
0.5000 0.0000 0.0000
0.0000 0.0000 0.5000
0.5000 0.5000 0.5000
0.0000 0.5000 0.0000
```

---

2.
First-principles (PBE) data for Ce5PmN4 after structural relaxation, as listed in Alexandria.

Total DFT energy (no corrections) in eV for the cell shown: -74.14
Spin magnetization in μB/f.u.: 5.408
V in Å³/atom: 22.11
Formation energy without anion corrections in meV/atom: -641
Symmetry: Immm

Cell and atoms, written as POSCAR:
```
Ce5PmN4
1.0
3.2369 0.0000 1.0337
0.4850 8.3025 4.0661
-1.0671 2.2090 8.9265
Ce Pm N
5 1 4
direct
0.5996 0.3603 0.9406
0.9004 0.0594 0.6397
0.7500 0.5000 0.5000
0.5996 0.9406 0.3603
0.9004 0.6397 0.0594
0.2500 0.0000 0.0000
0.2500 0.3007 0.6993
0.0920 0.1580 0.1580
0.4080 0.8420 0.8420
0.2500 0.6993 0.3007
```

---

3.
First-principles (PBE) data for CePm2Pr3N6 after structural relaxation, as listed in Alexandria.

Total DFT energy (no corrections) in eV for the cell shown: -96.49
Spin magnetization in μB/f.u.: 0.000
V in Å³/atom: 17.05
Formation energy without anion corrections in meV/atom: -1397
Symmetry: C2/m

Cell and atoms, written as POSCAR:
```
CePm2Pr3N6
1.0
-2.9120 -5.5863 -0.0909
3.2652 1.7653 5.0909
-5.0110 3.7887 0.5983
Ce Pm Pr N
1 2 3 6
direct
0.0000 0.0000 0.0000
0.3334 0.6666 0.0000
0.6666 0.3334 0.0000
0.1665 0.8335 0.5000
0.8335 0.1665 0.5000
0.5000 0.5000 0.5000
0.9204 0.5975 0.7608
0.7568 0.7568 0.2396
0.0796 0.4025 0.2392
0.5975 0.9204 0.7608
0.2432 0.2432 0.7604
0.4025 0.0796 0.2392
```

---

4.
First-principles (PBE) data for Ce3Pm2PrN6 after structural relaxation, as listed in Alexandria.

Total DFT energy (no corrections) in eV for the cell shown: -99.63
Spin magnetization in μB/f.u.: 0.003
V in Å³/atom: 16.48
Formation energy without anion corrections in meV/atom: -1467
Symmetry: C2/m

Cell and atoms, written as POSCAR:
```
Ce3Pm2PrN6
1.0
6.2339 -0.0002 0.0005
-3.1157 5.3995 0.0005
-1.0398 -1.8004 5.8747
Ce Pm Pr N
3 2 1 6
direct
0.1669 0.8331 0.5000
0.8331 0.1669 0.5000
0.5000 0.5000 0.5000
0.3333 0.6667 0.0000
0.6667 0.3333 0.0000
0.0000 0.0000 0.0000
0.9115 0.5738 0.7348
0.7504 0.7504 0.2648
0.0885 0.4262 0.2652
0.5738 0.9115 0.7348
0.2496 0.2496 0.7352
0.4262 0.0885 0.2652
```

---

5.
First-principles (PBE) data for CePmPrN3 after structural relaxation, as listed in Alexandria.

Total DFT energy (no corrections) in eV for the cell shown: -96.00
Spin magnetization in μB/f.u.: 0.776
V in Å³/atom: 16.93
Formation energy without anion corrections in meV/atom: -1260
Symmetry: P2_1/m

Cell and atoms, written as POSCAR:
```
CePmPrN3
1.0
3.5847 0.0000 0.0000
0.0000 6.1766 0.3358
0.0000 -2.3711 9.0448
Ce Pm Pr N
2 2 2 6
direct
0.2500 0.1498 0.6434
0.7500 0.8502 0.3566
0.2500 0.7672 0.0452
0.7500 0.2328 0.9548
0.7500 0.6620 0.6967
0.2500 0.3380 0.3033
0.2500 0.7502 0.4928
0.7500 0.0418 0.1596
0.7500 0.5438 0.1713
0.7500 0.2498 0.5072
0.2500 0.4562 0.8287
0.2500 0.9582 0.8404
```

---

6.
First-principles (PBE) data for Ce2PmPr3N6 after structural relaxation, as listed in Alexandria.

Total DFT energy (no corrections) in eV for the cell shown: -97.86
Spin magnetization in μB/f.u.: 0.000
V in Å³/atom: 16.91
Formation energy without anion corrections in meV/atom: -1413
Symmetry: C2/m

Cell and atoms, written as POSCAR:
```
Ce2PmPr3N6
1.0
6.2836 -0.0010 0.0001
-3.1412 5.4421 0.0001
-1.0482 -1.8150 5.9355
Ce Pm Pr N
2 1 3 6
direct
0.3332 0.6668 0.0000
0.6668 0.3332 0.0000
0.0000 0.0000 0.0000
0.1665 0.8335 0.5000
0.8335 0.1665 0.5000
0.5000 0.5000 0.5000
0.9219 0.5794 0.7655
0.7352 0.7352 0.2337
0.0781 0.4206 0.2345
0.5794 0.9219 0.7655
0.2648 0.2648 0.7663
0.4206 0.0781 0.2345
```

---

7.
First-principles (PBE) data for Ce2PmPrN4 after structural relaxation, as listed in Alexandria.

Total DFT energy (no corrections) in eV for the cell shown: -66.34
Spin magnetization in μB/f.u.: 0.001
V in Å³/atom: 16.56
Formation energy without anion corrections in meV/atom: -1456
Symmetry: P2/m

Cell and atoms, written as POSCAR:
```
Ce2PmPrN4
1.0
3.6051 0.0000 0.0000
0.0000 6.2410 0.1096
0.0000 -2.1821 5.8484
Ce Pm Pr N
2 1 1 4
direct
0.5000 0.0000 0.5000
0.0000 0.5000 0.5000
0.0000 0.0000 0.0000
0.5000 0.5000 0.0000
0.5000 0.2520 0.2650
0.5000 0.7480 0.7350
0.0000 0.2412 0.7320
0.0000 0.7588 0.2680
```

---

8.
First-principles (PBE) data for CePm3Pr2N6 after structural relaxation, as listed in Alexandria.

Total DFT energy (no corrections) in eV for the cell shown: -96.66
Spin magnetization in μB/f.u.: 0.000
V in Å³/atom: 16.89
Formation energy without anion corrections in meV/atom: -1413
Symmetry: C2/m

Cell and atoms, written as POSCAR:
```
CePm3Pr2N6
1.0
-3.4113 1.1711 0.4230
-0.5732 -3.8791 6.1160
4.4110 6.3823 2.3155
Ce Pm Pr N
1 3 2 6
direct
0.5000 0.0000 0.0000
0.5000 0.5000 0.0000
0.8343 0.1676 0.6686
0.1657 0.8324 0.3314
0.8335 0.6660 0.6670
0.1665 0.3340 0.3330
0.3404 0.9248 0.6809
0.6646 0.5869 0.3292
0.6596 0.0752 0.3191
0.9981 0.2381 0.9962
0.0019 0.7619 0.0038
0.3354 0.4131 0.6708
```